{
  "formula": "CoSi2F",
  "functional": "PBE with a Hubbard U",
  "state": "relaxed",
  "lattice": [[5.196, 0.000, 0.000], [0.000, 5.196, 0.000], [2.598, 2.598, 4.892]],
  "species": ["Si", "F", "Co", "Si", "Si", "Co", "Si", "F"],
  "frac_coords": [[0.375, 0.340, 0.750], [0.500, 0.500, 0.000], [0.750, 0.250, 0.500], [0.090, 0.625, 0.250], [0.875, 0.910, 0.750], [0.000, 0.000, 0.000], [0.660, 0.125, 0.250], [0.250, 0.750, 0.500]],
  "e_above_lowest_polymorph_mev_per_atom": 13
}